Entry 1:
This record from Alexandria describes TaReAu3 after structural relaxation. The functional is PBE-GGA.

Geometry as POSCAR:
```
TaReAu3
1.0
4.905 0.000 0.000
0.000 4.905 0.000
0.000 0.000 4.905
Re Au Ta
1 3 1
direct
0.000 0.000 0.000
0.000 0.500 0.000
0.000 0.000 0.500
0.500 0.000 0.000
0.500 0.500 0.500
```

Calculated values
Formation energy ... 1888 meV/atom
Energy above the lowest structure with this stoichiometry ... 0.0 meV per atom



Entry 2:
This record from Alexandria describes PmTeRh after structural relaxation. The functional is PBE-GGA.

Geometry as POSCAR:
```
PmTeRh
1.0
3.991 0.000 0.000
0.000 3.991 0.000
-1.995 -1.995 4.633
Rh Pm Te
1 1 1
direct
0.314 0.314 0.627
0.934 0.934 0.869
0.602 0.602 0.204
```

Calculated values
Energy above the lowest structure with this stoichiometry ... 455.8 meV per atom
E_form (uncorrected) ... -0.65 eV/atom



Calculated calculated volume (Å³ per cell), listed in the same order as above: 118, 74